A plane-wave DFT calculation with PBE-GGA was carried out for crystalline Ho6Ni2Ir at its relaxed geometry.

Values from the calculation:
Symmetry   Immm (71)
Total moment   0.000 μB/atom
Energy relative to the elements   -444 meV per atom

Unit cell a=8.151 b=8.151 c=8.151 alpha=110.07 beta=109.37 gamma=108.97
Atoms (fractional coordinates):
Ho: 0.060 0.244 0.816
Ho: 0.171 0.478 0.307
Ho: 0.171 0.864 0.693
Ho: 0.325 0.238 0.563
Ho: 0.325 0.762 0.087
Ho: 0.428 0.244 0.184
Ho: 0.572 0.756 0.816
Ho: 0.675 0.238 0.913
Ho: 0.675 0.762 0.437
Ho: 0.829 0.136 0.307
Ho: 0.829 0.522 0.693
Ho: 0.940 0.756 0.184
Ni: 0.159 0.500 0.659
Ni: 0.380 0.880 0.500
Ni: 0.620 0.120 0.500
Ni: 0.841 0.500 0.341
Ir: 0.000 0.000 0.000
Ir: 0.500 0.500 0.000



A plane-wave DFT calculation with PBE-GGA was carried out for crystalline PrHoZnCu at its relaxed geometry.

Values from the calculation:
Symmetry   F-43m (216)
Total moment   0.000 μB/atom
Distance to the lowest polymorph of the same formula   0.0170 eV/atom
Energy relative to the elements   -237 meV per atom

Unit cell a=7.181 b=7.181 c=7.181 alpha=90.00 beta=90.00 gamma=90.00
Atoms (fractional coordinates):
Pr: 0.000 0.000 0.000
Pr: 0.000 0.500 0.500
Pr: 0.500 0.000 0.500
Pr: 0.500 0.500 0.000
Ho: 0.000 0.000 0.500
Ho: 0.000 0.500 0.000
Ho: 0.500 0.000 0.000
Ho: 0.500 0.500 0.500
Zn: 0.250 0.250 0.250
Zn: 0.250 0.750 0.750
Zn: 0.750 0.250 0.750
Zn: 0.750 0.750 0.250
Cu: 0.250 0.250 0.750
Cu: 0.250 0.750 0.250
Cu: 0.750 0.250 0.250
Cu: 0.750 0.750 0.750



A plane-wave DFT calculation with PBE-GGA was carried out for crystalline Ce2Sm3Ru4 at its relaxed geometry.

Values from the calculation:
Symmetry   C2/m (12)
Total moment   0.000 μB/atom
Distance to the lowest polymorph of the same formula   0.0000 eV/atom
Energy relative to the elements   -332 meV per atom

Unit cell a=5.875 b=5.875 c=9.090 alpha=99.51 beta=99.51 gamma=42.69
Atoms (fractional coordinates):
Ce: 0.175 0.175 0.284
Ce: 0.825 0.825 0.716
Sm: 0.123 0.123 0.889
Sm: 0.500 0.500 0.500
Sm: 0.877 0.877 0.111
Ru: 0.214 0.214 0.599
Ru: 0.408 0.408 0.871
Ru: 0.592 0.592 0.129
Ru: 0.786 0.786 0.401



A plane-wave DFT calculation with PBE-GGA was carried out for crystalline InNiAg at its relaxed geometry.

Values from the calculation:
Symmetry   Cmcm (63)
Total moment   0.000 μB/atom
Distance to the lowest polymorph of the same formula   0.0000 eV/atom
Energy relative to the elements   -27 meV per atom

Unit cell a=3.100 b=14.429 c=4.468 alpha=90.00 beta=90.00 gamma=90.00
Atoms (fractional coordinates):
In: 0.000 0.090 0.250
In: 0.000 0.910 0.750
In: 0.500 0.410 0.750
In: 0.500 0.590 0.250
Ni: 0.000 0.440 0.250
Ni: 0.000 0.560 0.750
Ni: 0.500 0.060 0.750
Ni: 0.500 0.940 0.250
Ag: 0.000 0.220 0.750
Ag: 0.000 0.780 0.250
Ag: 0.500 0.280 0.250
Ag: 0.500 0.720 0.750



A plane-wave DFT calculation with PBE-GGA was carried out for crystalline La2PmNdS4 at its relaxed geometry.

Values from the calculation:
Symmetry   P2/m (10)
Formation energy (no corrections)   -2.10 eV per atom
Total moment   0.000 μB/atom

Unit cell a=7.118 b=4.084 c=7.123 alpha=90.00 beta=109.32 gamma=90.00
Atoms (fractional coordinates):
La: 0.000 0.000 0.000
La: 0.000 0.500 0.500
Pm: 0.500 0.000 0.500
Nd: 0.500 0.500 0.000
S: 0.256 0.000 0.751
S: 0.257 0.500 0.254
S: 0.743 0.500 0.746
S: 0.744 0.000 0.249



A plane-wave DFT calculation with PBE-GGA was carried out for crystalline ZrTePt2 at its relaxed geometry.

Values from the calculation:
Symmetry   P4/mmm (123)
Formation energy (no corrections)   -0.51 eV per atom
Total moment   0.000 μB/atom

Unit cell a=4.110 b=4.110 c=4.450 alpha=90.00 beta=90.00 gamma=90.00
Atoms (fractional coordinates):
Zr: 0.000 0.000 0.000
Te: 0.500 0.500 0.000
Pt: 0.000 0.500 0.500
Pt: 0.500 0.000 0.500



A plane-wave DFT calculation with PBE-GGA was carried out for crystalline AgPdIO6 at its relaxed geometry.

Values from the calculation:
Symmetry   P-31c (163)
Formation energy (no corrections)   -0.27 eV per atom
Total moment   0.000 μB/atom

Unit cell a=5.246 b=5.246 c=10.253 alpha=90.00 beta=90.00 gamma=120.00
Atoms (fractional coordinates):
Ag: 0.000 0.000 0.000
Ag: 0.000 0.000 0.500
Pd: 0.333 0.667 0.250
Pd: 0.667 0.333 0.750
I: 0.333 0.667 0.750
I: 0.667 0.333 0.250
O: 0.014 0.373 0.644
O: 0.014 0.641 0.856
O: 0.359 0.373 0.856
O: 0.359 0.986 0.644
O: 0.373 0.014 0.144
O: 0.373 0.359 0.356
O: 0.627 0.641 0.644
O: 0.627 0.986 0.856
O: 0.641 0.014 0.356
O: 0.641 0.627 0.144
O: 0.986 0.359 0.144
O: 0.986 0.627 0.356



A plane-wave DFT calculation with PBE-GGA was carried out for crystalline CeHfBe at its relaxed geometry.

Values from the calculation:
Symmetry   C2/m (12)
Total moment   0.000 μB/atom
Distance to the lowest polymorph of the same formula   0.2561 eV/atom
Energy relative to the elements   382 meV per atom

Unit cell a=7.778 b=3.060 c=10.223 alpha=90.00 beta=90.53 gamma=90.00
Atoms (fractional coordinates):
Ce: 0.134 0.000 0.093
Ce: 0.366 0.500 0.907
Ce: 0.634 0.500 0.093
Ce: 0.866 0.000 0.907
Hf: 0.148 0.000 0.403
Hf: 0.352 0.500 0.597
Hf: 0.648 0.500 0.403
Hf: 0.852 0.000 0.597
Be: 0.142 0.000 0.725
Be: 0.358 0.500 0.275
Be: 0.642 0.500 0.725
Be: 0.858 0.000 0.275



A plane-wave DFT calculation with PBE-GGA was carried out for crystalline Pr2Y3Ho5 at its relaxed geometry.

Values from the calculation:
Symmetry   C2/c (15)
Total moment   0.000 μB/atom
Energy relative to the elements   194 meV per atom

Unit cell a=9.600 b=9.600 c=9.431 alpha=108.09 beta=108.09 gamma=112.65
Atoms (fractional coordinates):
Pr: 0.016 0.268 0.048
Pr: 0.268 0.016 0.548
Pr: 0.732 0.984 0.452
Pr: 0.984 0.732 0.952
Y: 0.222 0.464 0.452
Y: 0.272 0.728 0.250
Y: 0.464 0.222 0.952
Y: 0.536 0.778 0.048
Y: 0.728 0.272 0.750
Y: 0.778 0.536 0.548
Ho: 0.022 0.978 0.750
Ho: 0.149 0.385 0.779
Ho: 0.231 0.769 0.750
Ho: 0.385 0.149 0.279
Ho: 0.472 0.528 0.250
Ho: 0.528 0.472 0.750
Ho: 0.615 0.851 0.721
Ho: 0.769 0.231 0.250
Ho: 0.851 0.615 0.221
Ho: 0.978 0.022 0.250



A plane-wave DFT calculation with PBE-GGA was carried out for crystalline FeNi2PdC at its relaxed geometry.

Values from the calculation:
Symmetry   P4/mmm (123)
Total moment   0.681 μB/atom
Distance to the lowest polymorph of the same formula   0.0000 eV/atom
Energy relative to the elements   112 meV per atom

Unit cell a=3.785 b=3.785 c=3.933 alpha=90.00 beta=90.00 gamma=90.00
Atoms (fractional coordinates):
Fe: 0.000 0.000 0.000
Ni: 0.000 0.500 0.500
Ni: 0.500 0.000 0.500
Pd: 0.500 0.500 0.000
C: 0.000 0.000 0.500



A plane-wave DFT calculation with PBE-GGA was carried out for crystalline TlNiRh2C at its relaxed geometry.

Values from the calculation:
Symmetry   P4/mmm (123)
Total moment   0.000 μB/atom
Distance to the lowest polymorph of the same formula   0.0000 eV/atom
Energy relative to the elements   128 meV per atom

Unit cell a=4.137 b=4.137 c=3.979 alpha=90.00 beta=90.00 gamma=90.00
Atoms (fractional coordinates):
Tl: 0.000 0.000 0.000
Ni: 0.500 0.500 0.000
Rh: 0.000 0.500 0.500
Rh: 0.500 0.000 0.500
C: 0.500 0.500 0.500



A plane-wave DFT calculation with PBE-GGA was carried out for crystalline Nd8Rh3I4Cl at its relaxed geometry.

Values from the calculation:
Symmetry   R-3m (166)
Formation energy (no corrections)   -0.96 eV per atom
Total moment   0.000 μB/atom

Unit cell a=9.427 b=9.427 c=9.427 alpha=53.50 beta=53.50 gamma=53.50
Atoms (fractional coordinates):
Nd: 0.207 0.742 0.742
Nd: 0.228 0.228 0.228
Nd: 0.258 0.258 0.793
Nd: 0.258 0.793 0.258
Nd: 0.742 0.207 0.742
Nd: 0.742 0.742 0.207
Nd: 0.772 0.772 0.772
Nd: 0.793 0.258 0.258
Rh: 0.000 0.000 0.500
Rh: 0.000 0.500 0.000
Rh: 0.500 0.000 0.000
I: 0.000 0.000 0.000
I: 0.000 0.500 0.500
I: 0.500 0.000 0.500
I: 0.500 0.500 0.000
Cl: 0.500 0.500 0.500